{"formula": "AcSi2HgAu6", "functional": "PBE", "state": "relaxed", "spacegroup": "R-3 (148)", "final_energy_ev_per_atom": -3.581, "raw_formation_energy_ev_per_atom": -0.089, "cell": [[6.4567, 0.0000, 0.0000], [3.2283, 5.5917, 0.0000], [3.2283, 1.8639, 8.0204]], "species": ["Ac", "Si", "Si", "Hg", "Au", "Au", "Au", "Au", "Au", "Au"], "fractional_positions": [[0.0000, 0.0000, 0.0000], [0.6922, 0.6922, 0.9234], [0.3078, 0.3078, 0.0766], [0.5000, 0.5000, 0.5000], [0.1135, 0.4902, 0.7994], [0.5969, 0.1135, 0.7994], [0.5098, 0.4031, 0.2006], [0.8865, 0.5098, 0.2006], [0.4031, 0.8865, 0.2006], [0.4902, 0.5969, 0.7994]]}

---

{"formula": "CeMg2CdAg4", "functional": "PBE", "state": "relaxed", "e_form_ev_per_atom": -0.12, "spacegroup": "R-3m (166)", "final_energy_ev_per_atom": -2.796, "cell": [[-0.7005, 3.7045, 2.8815], [-4.3977, 1.6053, 0.7742], [-2.4951, -3.7213, 8.0847]], "species": ["Ce", "Mg", "Mg", "Cd", "Ag", "Ag", "Ag", "Ag"], "fractional_positions": [[0.0000, 0.0000, 0.0000], [0.7573, 0.7573, 0.7282], [0.2427, 0.2427, 0.2718], [0.5000, 0.5000, 0.5000], [0.3938, 0.3938, 0.8187], [0.8744, 0.8744, 0.3767], [0.1256, 0.1256, 0.6233], [0.6062, 0.6062, 0.1813]]}